No. 1
Material: LaMg2AlAu2
Method: DFT, GGA-PBE
State: relaxed

The structure in CIF format:
```
data_LaMg2AlAu2
_symmetry_space_group_name_H-M 'P 1'
_symmetry_Int_Tables_number 1
_symmetry_space_group_name_Hall 'P 1'
_cell_length_a 5.2138
_cell_length_b 5.2138
_cell_length_c 6.7218
_cell_angle_alpha 112.82
_cell_angle_beta 112.82
_cell_angle_gamma 90.00
loop_
_atom_site_label
_atom_site_type_symbol
_atom_site_fract_x
_atom_site_fract_y
_atom_site_fract_z
_atom_site_occupancy
La1 La 0.5000 0.5000 0.0000 1
Mg1 Mg 0.2500 0.7500 0.5000 1
Mg2 Mg 0.7500 0.2500 0.5000 1
Al1 Al 0.0000 0.0000 0.0000 1
Au1 Au 0.7833 0.7833 0.5665 1
Au2 Au 0.2167 0.2167 0.4335 1
```

Summary:
Space-group type   I4/mmm, No. 139
Energy of formation   -344 meV per atom

=====

No. 2
Material: LaMgAl2Au2
Method: DFT, GGA-PBE
State: relaxed

The structure in CIF format:
```
data_LaMgAl2Au2
_symmetry_space_group_name_H-M 'P 1'
_symmetry_Int_Tables_number 1
_symmetry_space_group_name_Hall 'P 1'
_cell_length_a 4.4843
_cell_length_b 4.4843
_cell_length_c 7.3279
_cell_angle_alpha 90.00
_cell_angle_beta 90.00
_cell_angle_gamma 120.00
loop_
_atom_site_label
_atom_site_type_symbol
_atom_site_fract_x
_atom_site_fract_y
_atom_site_fract_z
_atom_site_occupancy
La1 La 0.0000 0.0000 0.0000 1
Mg1 Mg 0.0000 0.0000 0.5000 1
Al1 Al 0.3333 0.6667 0.7000 1
Al2 Al 0.6667 0.3333 0.3000 1
Au1 Au 0.3333 0.6667 0.3003 1
Au2 Au 0.6667 0.3333 0.6997 1
```

Summary:
Space-group type   P-3m1, No. 164
Energy of formation   -656 meV per atom

=====

No. 3
Material: La2MnAl3Au12
Method: DFT, GGA-PBE
State: relaxed

The structure in CIF format:
```
data_La2MnAl3Au12
_symmetry_space_group_name_H-M 'P 1'
_symmetry_Int_Tables_number 1
_symmetry_space_group_name_Hall 'P 1'
_cell_length_a 8.2919
_cell_length_b 8.2919
_cell_length_c 8.2919
_cell_angle_alpha 61.96
_cell_angle_beta 61.96
_cell_angle_gamma 61.96
loop_
_atom_site_label
_atom_site_type_symbol
_atom_site_fract_x
_atom_site_fract_y
_atom_site_fract_z
_atom_site_occupancy
La1 La 0.6170 0.6170 0.6170 1
La2 La 0.3830 0.3830 0.3830 1
Mn1 Mn 0.0000 0.0000 0.0000 1
Al1 Al 0.5000 0.0000 0.0000 1
Al2 Al 0.0000 0.5000 0.0000 1
Al3 Al 0.0000 0.0000 0.5000 1
Au1 Au 0.3622 0.3622 0.8866 1
Au2 Au 0.8725 0.8725 0.3756 1
Au3 Au 0.3756 0.8725 0.8725 1
Au4 Au 0.8866 0.3622 0.3622 1
Au5 Au 0.8725 0.3756 0.8725 1
Au6 Au 0.3622 0.8866 0.3622 1
Au7 Au 0.6378 0.6378 0.1134 1
Au8 Au 0.1275 0.1275 0.6244 1
Au9 Au 0.6244 0.1275 0.1275 1
Au10 Au 0.1134 0.6378 0.6378 1
Au11 Au 0.1275 0.6244 0.1275 1
Au12 Au 0.6378 0.1134 0.6378 1
```

Summary:
Space-group type   R-3m, No. 166
Energy of formation   -174 meV per atom

=====

No. 4
Material: La2Al4NiAu3
Method: DFT, GGA-PBE
State: relaxed

The structure in CIF format:
```
data_La2Al4NiAu3
_symmetry_space_group_name_H-M 'P 1'
_symmetry_Int_Tables_number 1
_symmetry_space_group_name_Hall 'P 1'
_cell_length_a 4.4200
_cell_length_b 4.4200
_cell_length_c 10.4565
_cell_angle_alpha 90.00
_cell_angle_beta 90.00
_cell_angle_gamma 90.00
loop_
_atom_site_label
_atom_site_type_symbol
_atom_site_fract_x
_atom_site_fract_y
_atom_site_fract_z
_atom_site_occupancy
La1 La 0.5000 0.0000 0.2580 1
La2 La 0.0000 0.5000 0.7420 1
Al1 Al 0.5000 0.5000 0.0000 1
Al2 Al 0.0000 0.0000 0.0000 1
Al3 Al 0.5000 0.0000 0.6183 1
Al4 Al 0.0000 0.5000 0.3817 1
Ni1 Ni 0.5000 0.5000 0.5000 1
Au1 Au 0.0000 0.0000 0.5000 1
Au2 Au 0.5000 0.0000 0.8648 1
Au3 Au 0.0000 0.5000 0.1352 1
```

Summary:
Space-group type   P-4m2, No. 115
Energy of formation   -703 meV per atom

=====

No. 5
Material: La2AlNiAu
Method: DFT, GGA-PBE
State: relaxed

The structure in CIF format:
```
data_La2AlNiAu
_symmetry_space_group_name_H-M 'P 1'
_symmetry_Int_Tables_number 1
_symmetry_space_group_name_Hall 'P 1'
_cell_length_a 5.2441
_cell_length_b 4.8657
_cell_length_c 5.2441
_cell_angle_alpha 90.00
_cell_angle_beta 90.00
_cell_angle_gamma 90.00
loop_
_atom_site_label
_atom_site_type_symbol
_atom_site_fract_x
_atom_site_fract_y
_atom_site_fract_z
_atom_site_occupancy
Ni1 Ni 0.0000 0.0000 0.0000 1
Au1 Au 0.0000 0.5000 0.0000 1
Al1 Al 0.5000 0.5000 0.5000 1
La1 La 0.0000 0.0000 0.5000 1
La2 La 0.5000 0.0000 0.0000 1
```

Summary:
Space-group type   P4/mmm, No. 123
Energy of formation   -208 meV per atom

=====

No. 6
Material: La2Al4PbAu3
Method: DFT, GGA-PBE
State: relaxed

The structure in CIF format:
```
data_La2Al4PbAu3
_symmetry_space_group_name_H-M 'P 1'
_symmetry_Int_Tables_number 1
_symmetry_space_group_name_Hall 'P 1'
_cell_length_a 4.5030
_cell_length_b 4.5030
_cell_length_c 10.8859
_cell_angle_alpha 90.00
_cell_angle_beta 90.00
_cell_angle_gamma 90.00
loop_
_atom_site_label
_atom_site_type_symbol
_atom_site_fract_x
_atom_site_fract_y
_atom_site_fract_z
_atom_site_occupancy
La1 La 0.5000 0.0000 0.2405 1
La2 La 0.0000 0.5000 0.7595 1
Al1 Al 0.5000 0.5000 0.0000 1
Al2 Al 0.0000 0.0000 0.0000 1
Al3 Al 0.5000 0.0000 0.6507 1
Al4 Al 0.0000 0.5000 0.3493 1
Pb1 Pb 0.5000 0.5000 0.5000 1
Au1 Au 0.0000 0.0000 0.5000 1
Au2 Au 0.5000 0.0000 0.8788 1
Au3 Au 0.0000 0.5000 0.1212 1
```

Summary:
Space-group type   P-4m2, No. 115
Energy of formation   -643 meV per atom

=====

Number 1: Fermi-level density of states 0.526 states/eV/atom. Number 2: Fermi-level density of states 0.459 states/eV/atom. Number 3: Fermi-level density of states 0.612 states/eV/atom. Number 4: Fermi-level density of states 0.677 states/eV/atom. Number 5: Fermi-level density of states 0.765 states/eV/atom. Number 6: Fermi-level density of states 0.405 states/eV/atom.